[1]
RbBeO2 | GGA-PBE | optimized geometry

Structure (CIF):
```
data_RbBeO2
_chemical_formula_sum 'Rb3 Be3 O6'
_cell_length_a 3.7542
_cell_length_b 3.7542
_cell_length_c 19.1448
_cell_angle_alpha 90.00
_cell_angle_beta 90.00
_cell_angle_gamma 120.00
_symmetry_space_group_name_H-M 'R -3 m'
_symmetry_Int_Tables_number 166
_symmetry_space_group_name_Hall '-R 3 2"'
loop_
_atom_site_label
_atom_site_fract_x
_atom_site_fract_y
_atom_site_fract_z
Rb1 0.0000 0.0000 0.0000
Be1 0.0000 0.0000 0.5000
O1 0.0000 0.0000 0.4253
```

Results
Formation energy (no corrections)   -1.260 eV/atom


[2]
BeIr2W | GGA-PBE | optimized geometry

Structure (CIF):
```
data_BeIr2W
_chemical_formula_sum 'Be1 Ir2 W1'
_cell_length_a 2.765
_cell_length_b 3.977
_cell_length_c 5.209
_cell_angle_alpha 90.00
_cell_angle_beta 105.27
_cell_angle_gamma 90.00
_symmetry_space_group_name_H-M 'P 1 m 1'
_symmetry_Int_Tables_number 6
_symmetry_space_group_name_Hall 'P -2y'
loop_
_atom_site_label
_atom_site_fract_x
_atom_site_fract_y
_atom_site_fract_z
Be1 0.000 0.000 0.000
Ir1 0.115 0.500 0.221
Ir2 0.766 0.000 0.527
W1 0.385 0.500 0.765
```

Results
Formation energy from the elements   -0.70 eV per formula unit


[3]
Mg2Be2Pt5Au | GGA-PBE | optimized geometry

Structure (CIF):
```
data_Mg2Be2Pt5Au
_chemical_formula_sum 'Mg4 Be4 Pt10 Au2'
_cell_length_a 9.398
_cell_length_b 9.398
_cell_length_c 3.411
_cell_angle_alpha 90.00
_cell_angle_beta 90.00
_cell_angle_gamma 90.00
_symmetry_space_group_name_H-M 'P 4/m b m'
_symmetry_Int_Tables_number 127
_symmetry_space_group_name_Hall '-P 4 2ab'
loop_
_atom_site_label
_atom_site_fract_x
_atom_site_fract_y
_atom_site_fract_z
Mg1 0.176 0.324 0.000
Be1 0.124 0.624 0.000
Pt1 0.000 0.500 0.500
Pt2 0.073 0.783 0.500
Au1 0.000 0.000 0.000
```

Results
Formation energy from the elements   -6.41 eV per formula unit


[4]
HoEr3Pd6 | GGA-PBE | optimized geometry

Structure (CIF):
```
data_HoEr3Pd6
_chemical_formula_sum 'Ho2 Er6 Pd12'
_cell_length_a 8.259
_cell_length_b 4.888
_cell_length_c 10.276
_cell_angle_alpha 90.00
_cell_angle_beta 107.03
_cell_angle_gamma 90.00
_symmetry_space_group_name_H-M 'P 1 21/m 1'
_symmetry_Int_Tables_number 11
_symmetry_space_group_name_Hall '-P 2yb'
loop_
_atom_site_label
_atom_site_fract_x
_atom_site_fract_y
_atom_site_fract_z
Ho1 0.064 0.250 0.388
Er1 0.211 0.250 0.012
Er2 0.358 0.750 0.807
Er3 0.479 0.250 0.614
Pd1 0.076 0.750 0.897
Pd2 0.146 0.750 0.201
Pd3 0.156 0.250 0.699
Pd4 0.246 0.750 0.514
Pd5 0.361 0.250 0.305
Pd6 0.446 0.750 0.093
```

Results
Formation energy from the elements   -8.77 eV per formula unit


[5]
Rb2EuBr4 | GGA-PBE | optimized geometry

Structure (CIF):
```
data_Rb2EuBr4
_chemical_formula_sum 'Rb4 Eu2 Br8'
_cell_length_a 5.907
_cell_length_b 5.907
_cell_length_c 17.629
_cell_angle_alpha 90.00
_cell_angle_beta 90.00
_cell_angle_gamma 90.00
_symmetry_space_group_name_H-M 'I 4/m m m'
_symmetry_Int_Tables_number 139
_symmetry_space_group_name_Hall '-I 4 2'
loop_
_atom_site_label
_atom_site_fract_x
_atom_site_fract_y
_atom_site_fract_z
Rb1 0.000 0.000 0.140
Eu1 0.000 0.000 0.500
Br1 0.000 0.000 0.331
Br2 0.000 0.500 0.000
```

Results
Formation energy (no corrections)   -1.839 eV/atom


[6]
Pm5PrMg6 | GGA-PBE | optimized geometry

Structure (CIF):
```
data_Pm5PrMg6
_chemical_formula_sum 'Pm10 Pr2 Mg12'
_cell_length_a 5.473
_cell_length_b 16.419
_cell_length_c 7.759
_cell_angle_alpha 90.00
_cell_angle_beta 90.00
_cell_angle_gamma 90.00
_symmetry_space_group_name_H-M 'C m m m'
_symmetry_Int_Tables_number 65
_symmetry_space_group_name_Hall '-C 2 2'
loop_
_atom_site_label
_atom_site_fract_x
_atom_site_fract_y
_atom_site_fract_z
Pm1 0.000 0.000 0.000
Pm2 0.000 0.333 0.500
Pm3 0.000 0.334 0.000
Pr1 0.000 0.000 0.500
Mg1 0.000 0.168 0.248
Mg2 0.000 0.500 0.249
```

Results
Formation energy from the elements   -1.32 eV per formula unit


[7]
AlRh3S | GGA-PBE | optimized geometry

Structure (CIF):
```
data_AlRh3S
_chemical_formula_sum 'Al1 Rh3 S1'
_cell_length_a 4.491
_cell_length_b 4.491
_cell_length_c 4.491
_cell_angle_alpha 90.00
_cell_angle_beta 90.00
_cell_angle_gamma 90.00
_symmetry_space_group_name_H-M 'P m -3 m'
_symmetry_Int_Tables_number 221
_symmetry_space_group_name_Hall '-P 4 2 3'
loop_
_atom_site_label
_atom_site_fract_x
_atom_site_fract_y
_atom_site_fract_z
Al1 0.000 0.000 0.000
Rh1 0.000 0.000 0.500
S1 0.500 0.500 0.500
```

Results
Formation energy (no corrections)   0.876 eV/atom
ΔE to the lowest computed polymorph   865 meV per atom


[8]
Ho6SiC2S3 | GGA-PBE | optimized geometry

Structure (CIF):
```
data_Ho6SiC2S3
_chemical_formula_sum 'Ho12 Si2 C4 S6'
_cell_length_a 16.878
_cell_length_b 3.758
_cell_length_c 7.851
_cell_angle_alpha 90.00
_cell_angle_beta 104.06
_cell_angle_gamma 90.00
_symmetry_space_group_name_H-M 'C 1 2/m 1'
_symmetry_Int_Tables_number 12
_symmetry_space_group_name_Hall '-C 2y'
loop_
_atom_site_label
_atom_site_fract_x
_atom_site_fract_y
_atom_site_fract_z
Ho1 0.014 0.000 0.262
Ho2 0.170 0.500 0.119
Ho3 0.177 0.500 0.563
Si1 0.000 0.500 0.000
C1 0.171 0.000 0.341
S1 0.000 0.500 0.500
S2 0.164 0.000 0.831
```

Results
Formation energy (no corrections)   -1.282 eV/atom


Number 1: V 233.68 Å³ per cell. Number 2: V 55.25 Å³ per cell. Number 3: V 301.25 Å³ per cell. Number 4: V 396.67 Å³ per cell. Number 5: V 615.13 Å³ per cell. Number 6: V 697.28 Å³ per cell. Number 7: V 90.59 Å³ per cell. Number 8: V 483.06 Å³ per cell.